(1)
A geometry-optimized Rb3TbPm2S6 structure. Source: the Alexandria database, functional GGA-PBE.

Output
Raw formation energy ... -1.84 eV per atom

The structure in extended XYZ format:
```
12
Lattice="-5.241 -4.864 -0.915 2.258 1.659 6.642 -4.280 6.678 -1.517" Properties=species:S:1:pos:R:3 pbc="T T T"
S -3.033 -1.061 3.925
S -0.287 1.637 2.255
S -2.747 -0.502 -0.224
S -4.230 4.533 0.285
S -4.516 3.974 4.433
S -6.975 1.835 1.955
Rb -1.137 3.906 4.619
Rb -6.126 -0.434 -0.409
Rb -3.631 1.736 2.105
Pm -2.741 -2.690 1.604
Pm -0.242 -0.516 4.122
Tb 0.000 0.000 0.000
```



(2)
A geometry-optimized Ag4RuW structure. Source: the Alexandria database, functional GGA-PBE.

Output
Energy of formation ... 5.39 eV/f.u.

The structure in extended XYZ format:
```
6
Lattice="0.000 3.709 3.709 3.709 0.000 3.709 3.709 3.709 0.000" Properties=species:S:1:pos:R:3 pbc="T T T"
W 0.000 0.000 0.000
Ag 2.782 4.635 4.635
Ag 4.635 2.782 4.635
Ag 4.635 4.635 2.782
Ag 2.782 2.782 2.782
Ru 5.563 5.563 5.563
```



(3)
A geometry-optimized KNa2PbAu structure. Source: the Alexandria database, functional GGA-PBE.

Output
Energy of formation ... -0.76 eV/f.u.
Distance to the lowest polymorph of the same formula ... 0 meV/atom

The structure in extended XYZ format:
```
5
Lattice="-4.774 -3.145 -0.084 0.419 -0.484 -5.682 3.028 -4.613 0.617" Properties=species:S:1:pos:R:3 pbc="T T T"
Na -2.387 -1.572 -0.042
Na 0.210 -0.242 -2.841
K -0.663 -4.121 -2.575
Au 0.000 0.000 0.000
Pb 1.514 -2.307 0.308
```



(4)
A geometry-optimized KAgS2N structure. Source: the Alexandria database, functional GGA-PBE.

Output
Raw formation energy ... 0.73 eV per atom
Distance to the lowest polymorph of the same formula ... 0 meV/atom

The structure in extended XYZ format:
```
5
Lattice="-1.039 0.925 4.888 0.451 -4.955 1.033 4.171 0.543 0.784" Properties=species:S:1:pos:R:3 pbc="T T T"
Ag 0.000 0.000 0.000
S 0.225 -2.478 0.517
S -0.520 0.462 2.444
K 1.791 -1.744 3.353
N 2.086 0.271 0.392
```



(5)
A geometry-optimized Tb3Tm4 structure. Source: the Alexandria database, functional GGA-PBE.

Output
Energy of formation ... 0.15 eV/f.u.

The structure in extended XYZ format:
```
7
Lattice="-1.177 -0.268 -3.296 -3.863 -2.677 1.597 -4.015 11.791 2.343" Properties=species:S:1:pos:R:3 pbc="T T T"
Tm -1.524 1.344 -1.434
Tm -7.530 7.501 2.078
Tm -5.660 4.549 1.650
Tm -3.394 4.297 -1.007
Tb -3.800 1.612 1.225
Tb -5.254 7.233 -0.582
Tb -1.931 -1.339 0.798
```



(6)
A geometry-optimized KCdBiS3 structure. Source: the Alexandria database, functional GGA-PBE.

Output
Raw formation energy ... -0.70 eV per atom

The structure in extended XYZ format:
```
12
Lattice="4.171 0.000 0.000 0.000 9.149 0.232 0.000 -2.161 9.478" Properties=species:S:1:pos:R:3 pbc="T T T"
Bi 1.043 5.660 1.422
Bi 3.128 1.329 8.288
Cd 3.128 7.363 3.958
Cd 1.043 -0.374 5.752
S 3.128 0.704 4.723
S 3.128 7.563 1.416
S 1.043 6.285 4.987
S 1.043 3.385 8.313
S 3.128 3.604 1.397
S 1.043 -0.575 8.294
K 3.128 5.823 7.615
K 1.043 1.166 2.095
```



(7)
A geometry-optimized ZrReI2O structure. Source: the Alexandria database, functional GGA-PBE.

Output
Raw formation energy ... 0.14 eV per atom
Distance to the lowest polymorph of the same formula ... 2 meV/atom

The structure in extended XYZ format:
```
5
Lattice="-5.197 -1.810 -1.060 1.311 -0.594 -5.417 1.092 -3.517 0.650" Properties=species:S:1:pos:R:3 pbc="T T T"
I 0.656 -0.297 -2.708
I -2.599 -0.905 -0.530
Zr -1.397 -2.960 -2.913
Re 0.000 0.000 0.000
O 0.546 -1.758 0.325
```



(8)
A geometry-optimized CsNa2InPb structure. Source: the Alexandria database, functional GGA-PBE.

Output
Energy of formation ... -0.15 eV/f.u.
Distance to the lowest polymorph of the same formula ... 0 meV/atom

The structure in extended XYZ format:
```
5
Lattice="6.123 0.000 0.000 0.000 6.123 0.000 0.000 0.000 6.021" Properties=species:S:1:pos:R:3 pbc="T T T"
Pb 0.000 0.000 0.000
Cs 3.062 3.062 3.011
Na 0.000 3.062 0.000
Na 3.062 0.000 0.000
In 0.000 0.000 3.011
```



| no. | calculated density (g cm⁻³) | energy (eV/atom) |
| --- | --- | --- |
| 1 | 4.3 | -5.324 |
| 2 | 11.7 | -4.707 |
| 3 | 4.5 | -2.296 |
| 4 | 3.4 | -3.381 |
| 5 | 8.9 | -4.517 |
| 6 | 4.2 | -3.747 |
| 7 | 7.7 | -5.666 |
| 8 | 3.7 | -2.018 |